meta-GGA SCAN MgI2O6, PBEsol geometry; formation energy (no corrections) = -864 kJ/mol of formula units; mass density = 4.97 Mg/m³; symmetry = No. 60; total magnetic moment = 0.00 Bohr magnetons per cell; energy = -13.867 eV/atom
1.0
5.2475 0.0000 0.0000
0.0000 6.6664 0.0000
0.0000 0.0000 14.3036
I Mg O
8 4 24
Cartesian
1.2857 1.9539 12.1419 I
1.3380 5.2870 4.9901 I
3.9618 1.3793 4.9901 I
3.9095 4.7125 12.1419 I
3.9618 4.7125 2.1617 I
3.9095 1.3793 9.3135 I
1.3380 1.9539 2.1617 I
1.2857 5.2870 9.3135 I
1.3119 5.7714 0.0000 Mg
3.9356 0.8950 0.0000 Mg
1.3119 2.4382 7.1518 Mg
3.9356 4.2281 7.1518 Mg
2.8601 5.5472 5.9934 O
3.0791 2.6457 6.0172 O
1.9923 4.2094 3.6778 O
4.7922 2.6457 8.2865 O
3.2552 2.4570 10.6259 O
4.6161 2.4570 3.6778 O
4.7922 5.9789 13.1690 O
0.4554 4.0206 6.0172 O
0.6314 4.2094 10.6259 O
3.2552 5.7902 10.8296 O
2.1684 4.0206 8.2865 O
0.6314 0.8762 10.8296 O
2.8601 2.2140 1.1584 O
5.0111 2.2140 13.1452 O
2.3874 4.4524 13.1452 O
5.0111 5.5472 8.3102 O
3.0791 5.9789 1.1346 O
0.2364 1.1192 5.9934 O
2.1684 0.6875 13.1690 O
1.9923 0.8762 3.4741 O
0.2364 4.4524 1.1584 O
4.6161 5.7902 3.4741 O
2.3874 1.1192 8.3102 O
0.4554 0.6875 1.1346 O